Density functional theory data (PBE) for Pr3InI3 after structural relaxation.

Results
N(E_F)	2.57	states/eV per cell
magnetization	0.00	μB/cell
raw formation energy	-0.9798	eV/atom
VASP energy	-4.08	eV per atom
theoretical density	5.80	g/cm³

Cell: 6.408 6.408 6.408 Å, 90.00 90.00 90.00°
Space group Pm-3m (No. 221)
Unique sites:
Pr 0.000 0.000 0.500 (multiplicity 3)
In 0.000 0.000 0.000 (multiplicity 1)
I 0.000 0.500 0.500 (multiplicity 3)